Record 1
Material: LiPm4Tl5
Method: DFT, PBE
State: optimized geometry

Structure (CIF):
```
data_LiPm4Tl5
_chemical_formula_sum 'Li1 Pm4 Tl5'
_symmetry_space_group_name_H-M 'P 1'
_symmetry_Int_Tables_number 1
_symmetry_space_group_name_Hall 'P 1'
_cell_length_a 3.6518
_cell_length_b 3.6518
_cell_length_c 20.5803
_cell_angle_alpha 90.00
_cell_angle_beta 90.00
_cell_angle_gamma 90.00
loop_
_atom_site_label
_atom_site_type_symbol
_atom_site_fract_x
_atom_site_fract_y
_atom_site_fract_z
Li1 Li 0.0000 0.0000 0.0000
Pm1 Pm 0.0000 0.0000 0.1830
Pm2 Pm 0.0000 0.0000 0.3943
Pm3 Pm 0.0000 0.0000 0.6057
Pm4 Pm 0.0000 0.0000 0.8170
Tl1 Tl 0.5000 0.5000 0.0786
Tl2 Tl 0.5000 0.5000 0.2887
Tl3 Tl 0.5000 0.5000 0.5000
Tl4 Tl 0.5000 0.5000 0.7113
Tl5 Tl 0.5000 0.5000 0.9214
```

Values from the calculation:
- E_tot (eV per atom) = -3.636
- N(E_F) (states/eV/f.u.) = 6.77

=====

Record 2
Material: LiPm6Tl2
Method: DFT, PBE
State: optimized geometry

Structure (CIF):
```
data_LiPm6Tl2
_chemical_formula_sum 'Li1 Pm6 Tl2'
_symmetry_space_group_name_H-M 'P 1'
_symmetry_Int_Tables_number 1
_symmetry_space_group_name_Hall 'P 1'
_cell_length_a 5.1721
_cell_length_b 7.6917
_cell_length_c 9.0474
_cell_angle_alpha 115.16
_cell_angle_beta 106.50
_cell_angle_gamma 90.00
loop_
_atom_site_label
_atom_site_type_symbol
_atom_site_fract_x
_atom_site_fract_y
_atom_site_fract_z
Li1 Li 0.0000 0.0000 0.0000
Pm1 Pm 0.1638 0.4115 0.3279
Pm2 Pm 0.8362 0.0836 0.6721
Pm3 Pm 0.8362 0.5885 0.6721
Pm4 Pm 0.5000 0.2463 0.0000
Pm5 Pm 0.1638 0.9164 0.3279
Pm6 Pm 0.5000 0.7537 0.0000
Tl1 Tl 0.6654 0.6656 0.3313
Tl2 Tl 0.3346 0.3344 0.6687
```

Values from the calculation:
- E_tot (eV per atom) = -3.780
- N(E_F) (states/eV/f.u.) = 14.63

=====

Record 3
Material: Li5PmTl6
Method: DFT, PBE
State: optimized geometry

Structure (CIF):
```
data_Li5PmTl6
_chemical_formula_sum 'Li5 Pm1 Tl6'
_symmetry_space_group_name_H-M 'P 1'
_symmetry_Int_Tables_number 1
_symmetry_space_group_name_Hall 'P 1'
_cell_length_a 4.9273
_cell_length_b 7.8576
_cell_length_c 7.4357
_cell_angle_alpha 90.00
_cell_angle_beta 90.00
_cell_angle_gamma 71.73
loop_
_atom_site_label
_atom_site_type_symbol
_atom_site_fract_x
_atom_site_fract_y
_atom_site_fract_z
Tl1 Tl 0.8273 0.3453 0.2607
Tl2 Tl 0.8274 0.3453 0.7393
Tl3 Tl 0.5000 0.0000 0.7205
Tl4 Tl 0.5000 0.0000 0.2795
Tl5 Tl 0.1726 0.6547 0.2607
Tl6 Tl 0.1727 0.6547 0.7393
Li1 Li 0.6703 0.6594 0.5000
Li2 Li 0.3282 0.3435 0.0000
Li3 Li 0.0000 0.0000 0.5000
Li4 Li 0.6718 0.6565 0.0000
Li5 Li 0.3297 0.3406 0.5000
Pm1 Pm 0.0000 0.0000 0.0000
```

Values from the calculation:
- E_tot (eV per atom) = -2.626
- N(E_F) (states/eV/f.u.) = 3.89

=====

What did the second record say?
Material: LiPm6Tl2
Method: DFT, PBE
State: optimized geometry

Structure (CIF):
```
data_LiPm6Tl2
_chemical_formula_sum 'Li1 Pm6 Tl2'
_symmetry_space_group_name_H-M 'P 1'
_symmetry_Int_Tables_number 1
_symmetry_space_group_name_Hall 'P 1'
_cell_length_a 5.1721
_cell_length_b 7.6917
_cell_length_c 9.0474
_cell_angle_alpha 115.16
_cell_angle_beta 106.50
_cell_angle_gamma 90.00
loop_
_atom_site_label
_atom_site_type_symbol
_atom_site_fract_x
_atom_site_fract_y
_atom_site_fract_z
Li1 Li 0.0000 0.0000 0.0000
Pm1 Pm 0.1638 0.4115 0.3279
Pm2 Pm 0.8362 0.0836 0.6721
Pm3 Pm 0.8362 0.5885 0.6721
Pm4 Pm 0.5000 0.2463 0.0000
Pm5 Pm 0.1638 0.9164 0.3279
Pm6 Pm 0.5000 0.7537 0.0000
Tl1 Tl 0.6654 0.6656 0.3313
Tl2 Tl 0.3346 0.3344 0.6687
```

Values from the calculation:
- E_tot (eV per atom) = -3.780
- N(E_F) (states/eV/f.u.) = 14.63

=====

The highest N(E_F) belongs to which entry?
LiPm6Tl2